PrErIn2Ir4 (PBE-GGA, optimized geometry); total magnetic moment = 0.32 μB/f.u.; total DFT energy (no corrections) = -6.6507 eV per atom
1.0
4.581 0.000 0.000
-2.290 3.967 0.000
0.000 0.000 9.012
Er In Ir Pr
1 2 4 1
direct
0.000 0.000 0.000 Er
0.333 0.667 0.244 In
0.333 0.667 0.756 In
0.667 0.333 0.143 Ir
0.000 0.000 0.328 Ir
0.000 0.000 0.672 Ir
0.667 0.333 0.857 Ir
0.667 0.333 0.500 Pr

---

Er2InSnIr4 (PBE-GGA, optimized geometry); total magnetic moment = 0.01 μB/f.u.; total DFT energy (no corrections) = -6.9192 eV per atom
1.0
4.518 0.000 0.000
-2.259 3.913 0.000
0.000 0.000 8.908
Er In Ir Sn
2 1 4 1
direct
0.667 0.333 0.253 Er
0.333 0.667 0.747 Er
0.000 0.000 0.500 In
0.333 0.667 0.100 Ir
0.333 0.667 0.398 Ir
0.667 0.333 0.602 Ir
0.667 0.333 0.900 Ir
0.000 0.000 0.000 Sn

---

ErTm2In3Ir2 (PBE-GGA, optimized geometry); total magnetic moment = 0.01 μB/f.u.; total DFT energy (no corrections) = -5.5910 eV per atom
1.0
-3.474 -0.993 0.161
1.458 -5.845 -4.589
0.586 -0.838 7.504
Er In Ir Tm
1 3 2 2
direct
0.000 0.422 0.422 Er
0.500 0.235 0.000 In
0.500 0.000 0.235 In
0.500 0.765 0.765 In
0.500 0.667 0.333 Ir
0.500 0.333 0.667 Ir
0.000 0.578 0.000 Tm
0.000 0.000 0.578 Tm

---

ErTmIn2Ir4 (PBE-GGA, optimized geometry); total magnetic moment = 0.09 μB/f.u.; total DFT energy (no corrections) = -6.6906 eV per atom
1.0
-3.982 1.691 1.394
0.240 -4.268 -1.547
1.646 -2.878 8.195
Er In Ir Tm
1 2 4 1
direct
0.000 0.000 0.500 Er
0.667 0.333 0.250 In
0.667 0.333 0.750 In
0.000 0.000 0.144 Ir
0.333 0.667 0.355 Ir
0.333 0.667 0.645 Ir
0.000 0.000 0.856 Ir
0.333 0.667 0.000 Tm

---

YEr2In3Ir2 (PBE-GGA, optimized geometry); total magnetic moment = 0.01 μB/f.u.; total DFT energy (no corrections) = -5.8429 eV per atom
1.0
-2.132 -2.816 0.920
1.845 -3.517 -6.487
4.165 -1.104 6.269
Er In Ir Y
2 3 2 1
direct
0.500 0.422 0.000 Er
0.500 0.000 0.422 Er
0.000 0.765 0.001 In
0.000 0.234 0.234 In
0.000 0.001 0.765 In
0.000 0.668 0.330 Ir
0.000 0.330 0.668 Ir
0.500 0.579 0.579 Y

---

YErIn2Ir4 (PBE-GGA, optimized geometry); total magnetic moment = 0.06 μB/f.u.; total DFT energy (no corrections) = -6.9197 eV per atom
1.0
4.562 0.000 0.000
-2.281 3.951 0.000
0.000 0.000 8.870
Er In Ir Y
1 2 4 1
direct
0.000 0.000 0.000 Er
0.667 0.333 0.250 In
0.667 0.333 0.750 In
0.333 0.667 0.143 Ir
0.000 0.000 0.353 Ir
0.000 0.000 0.647 Ir
0.333 0.667 0.857 Ir
0.333 0.667 0.500 Y

---

ErZr2In3Ir2 (PBE-GGA, optimized geometry); total magnetic moment = 0.00 μB/f.u.; total DFT energy (no corrections) = -6.5623 eV per atom
1.0
-1.092 -2.994 1.085
6.187 -0.658 4.411
-6.343 3.284 2.675
Er In Ir Zr
1 3 2 2
direct
0.500 0.420 0.420 Er
0.000 0.997 0.231 In
0.000 0.771 0.771 In
0.000 0.231 0.997 In
0.000 0.674 0.331 Ir
0.000 0.331 0.674 Ir
0.500 0.576 0.000 Zr
0.500 0.000 0.576 Zr

---

Er2ZrIn3Ir2 (PBE-GGA, optimized geometry); total magnetic moment = 0.00 μB/f.u.; total DFT energy (no corrections) = -6.0840 eV per atom
1.0
3.478 0.000 0.000
0.000 6.552 3.836
0.000 -6.552 3.836
Er In Ir Zr
2 3 2 1
direct
0.500 0.999 0.579 Er
0.500 0.579 0.999 Er
0.000 0.234 0.005 In
0.000 0.005 0.234 In
0.000 0.764 0.764 In
0.000 0.657 0.337 Ir
0.000 0.337 0.657 Ir
0.500 0.426 0.426 Zr